This record from the Alexandria database describes SrYSn3 after structural relaxation. The functional is PBE.

Lattice parameters (Å, degrees): 5.7457 5.7457 5.7457 90.00 90.00 90.00
Element x y z (fractional)
Sr: 0.0000 0.0000 0.0000
Y: 0.5000 0.5000 0.5000
Sn: 0.0000 0.5000 0.5000
Sn: 0.5000 0.0000 0.5000
Sn: 0.5000 0.5000 0.0000

## Properties
The offset from the most stable computed form comes out at 0 meV/atom. As for the formation energy: -0.4 eV/f.u. Its volume is 189.7 Å³/cell. Its density of states at the Fermi level is 0.95 states/eV/atom.

=====

This record from the Alexandria database describes Ac5La2SmY after structural relaxation. The functional is PBE.

Lattice parameters (Å, degrees): 11.8208 11.8208 11.0642 90.00 90.00 151.15
Element x y z (fractional)
Ac: 0.0000 0.0000 0.0000
Ac: 0.0000 0.0000 0.5000
Ac: 0.1308 0.8692 0.7500
Ac: 0.2199 0.7801 0.0643
Ac: 0.2199 0.7801 0.4357
Ac: 0.4963 0.5037 0.7500
Ac: 0.5037 0.4963 0.2500
Ac: 0.7801 0.2199 0.5643
Ac: 0.7801 0.2199 0.9357
Ac: 0.8692 0.1308 0.2500
La: 0.3855 0.6145 0.0102
La: 0.3855 0.6145 0.4898
La: 0.6145 0.3855 0.5102
La: 0.6145 0.3855 0.9898
Sm: 0.3021 0.6979 0.7500
Sm: 0.6979 0.3021 0.2500
Y: 0.0996 0.9004 0.2500
Y: 0.9004 0.0996 0.7500

## Properties
As for the formation energy: 1.1 eV/f.u. Its volume is 746.0 Å³/cell. Its density of states at the Fermi level is 1.47 states/eV/atom.